(1)
CrTc2Mo PBE-GGA optimized geometry; DFT total energy = -0.73962 Ry/atom; crystal system = orthorhombic; space group = Cmmm (65); energy of formation from the pure elements = 0.234 eV per atom; Fermi-level density of states = 4.04 states/eV/cell
1.0
2.766 -3.770 0.000
2.766 3.770 0.000
0.000 0.000 2.761
Cr Tc Mo
1 2 1
Direct
0.000 0.000 0.000
0.000 0.500 0.500
0.500 0.000 0.500
0.500 0.500 0.000

(2)
CrTc2Mo PBE-GGA optimized geometry; DFT total energy = -0.74067 Ry/atom; crystal system = tetragonal; space group = I-4m2 (119); energy of formation from the pure elements = 0.219 eV per atom; Fermi-level density of states = 4.76 states/eV/cell
1.0
-1.920 1.920 3.895
1.920 -1.920 3.895
1.920 1.920 -3.895
Cr Tc Mo
1 2 1
Direct
0.000 0.000 0.000
0.500 0.500 0.000
0.750 0.250 0.500
0.250 0.750 0.500

(3)
CrTc2Mo PBE-GGA optimized geometry; DFT total energy = -0.74078 Ry/atom; crystal system = trigonal; space group = R-3m (166); energy of formation from the pure elements = 0.218 eV per atom; Fermi-level density of states = 4.84 states/eV/cell
1.0
1.367 0.789 8.866
-1.367 0.789 8.866
0.000 -1.579 8.866
Cr Tc Mo
1 2 1
Direct
0.000 0.000 0.000
0.255 0.255 0.255
0.745 0.745 0.745
0.500 0.500 0.500

(4)
CrTcMo2 PBE-GGA optimized geometry; DFT total energy = -0.74330 Ry/atom; crystal system = tetragonal; space group = I4/mmm (139); energy of formation from the pure elements = 0.300 eV per atom; ΔE to the lowest computed polymorph = 1.03 eV per formula unit; Fermi-level density of states = 5.43 states/eV/cell
1.0
-1.891 1.891 4.181
1.891 -1.891 4.181
1.891 1.891 -4.181
Cr Tc Mo
1 1 2
Direct
0.000 0.000 0.000
0.500 0.500 0.000
0.250 0.750 0.500
0.750 0.250 0.500

(5)
CrTcMo2 PBE-GGA optimized geometry; DFT total energy = -0.76031 Ry/atom; crystal system = orthorhombic; space group = Imm2 (44); energy of formation from the pure elements = 0.068 eV per atom; ΔE to the lowest computed polymorph = 0.10 eV per formula unit; Fermi-level density of states = 3.94 states/eV/cell
1.0
-1.541 2.179 4.339
1.541 -2.179 4.339
1.541 2.179 -4.339
Cr Tc Mo
1 1 2
Direct
0.000 0.000 0.000
0.748 0.248 0.500
0.239 0.739 0.500
0.491 0.491 0.000

(6)
CrTcMo2 PBE-GGA optimized geometry; DFT total energy = -0.70804 Ry/atom; crystal system = tetragonal; space group = I-42d (122); energy of formation from the pure elements = 0.780 eV per atom; ΔE to the lowest computed polymorph = 2.95 eV per formula unit; Fermi-level density of states = 9.91 states/eV/cell
1.0
-3.477 3.477 2.569
3.477 -3.477 2.569
3.477 3.477 -2.569
Cr Tc Mo
2 2 4
Direct
0.000 0.000 0.000
0.750 0.250 0.500
0.250 0.750 0.500
0.500 0.500 0.000
0.113 0.125 0.488
0.375 0.887 0.012
0.637 0.625 0.512
0.875 0.363 0.988

(7)
CrTcMo14 PBE-GGA optimized geometry; DFT total energy = -0.78687 Ry/atom; crystal system = tetragonal; space group = P4/mmm (123); energy of formation from the pure elements = 0.021 eV per atom; Fermi-level density of states = 15.06 states/eV/cell
1.0
6.294 0.000 0.000
0.000 6.294 0.000
0.000 0.000 6.289
Cr Tc Mo
1 1 14
Direct
0.000 0.000 0.000
0.500 0.500 0.000
0.000 0.000 0.500
0.000 0.500 0.000
0.000 0.500 0.500
0.248 0.248 0.248
0.248 0.248 0.752
0.248 0.752 0.248
0.248 0.752 0.752
0.500 0.000 0.000
0.500 0.000 0.500
0.500 0.500 0.500
0.752 0.248 0.248
0.752 0.248 0.752
0.752 0.752 0.248
0.752 0.752 0.752

(8)
CrTc2Mo PBE-GGA optimized geometry; DFT total energy = -0.74042 Ry/atom; crystal system = monoclinic; space group = Cm (8); energy of formation from the pure elements = 0.223 eV per atom; Fermi-level density of states = 4.79 states/eV/cell
1.0
4.523 -1.375 0.000
4.523 1.375 0.000
-0.843 0.000 4.628
Cr Tc Mo
1 2 1
Direct
0.000 0.000 0.000
0.261 0.261 0.754
0.511 0.511 0.514
0.752 0.752 0.245

(9)
CrTc2Mo PBE-GGA optimized geometry; DFT total energy = -0.75029 Ry/atom; crystal system = tetragonal; space group = P4/mmm (123); energy of formation from the pure elements = 0.088 eV per atom; Fermi-level density of states = 5.23 states/eV/cell
1.0
3.047 0.000 0.000
0.000 3.047 0.000
0.000 0.000 6.158
Cr Tc Mo
1 2 1
Direct
0.000 0.000 0.000
0.500 0.500 0.235
0.500 0.500 0.765
0.000 0.000 0.500

(10)
CrTcMo2 PBE-GGA optimized geometry; DFT total energy = -0.75844 Ry/atom; crystal system = orthorhombic; space group = Cmm2 (35); energy of formation from the pure elements = 0.094 eV per atom; ΔE to the lowest computed polymorph = 0.20 eV per formula unit; Fermi-level density of states = 4.41 states/eV/cell
1.0
1.548 -2.194 0.000
1.548 2.194 0.000
0.000 0.000 8.609
Cr Tc Mo
1 1 2
Direct
0.000 0.000 0.000
0.500 0.500 0.233
0.000 0.000 0.494
0.500 0.500 0.759

(11)
CrTc2Mo PBE-GGA optimized geometry; DFT total energy = -0.74995 Ry/atom; crystal system = tetragonal; space group = P4mm (99); energy of formation from the pure elements = 0.093 eV per atom; Fermi-level density of states = 3.65 states/eV/cell
1.0
3.037 0.000 0.000
0.000 3.037 0.000
0.000 0.000 6.204
Cr Tc Mo
1 2 1
Direct
0.000 0.000 0.000
0.000 0.000 0.498
0.500 0.500 0.783
0.500 0.500 0.250

(12)
CrTc2Mo PBE-GGA optimized geometry; DFT total energy = -0.74710 Ry/atom; crystal system = orthorhombic; space group = Pmmm (47); energy of formation from the pure elements = 0.132 eV per atom; Fermi-level density of states = 4.40 states/eV/cell
1.0
3.051 0.000 0.000
0.000 4.316 0.000
0.000 0.000 4.348
Cr Tc Mo
1 2 1
Direct
0.000 0.000 0.000
0.000 0.500 0.500
0.500 0.500 0.000
0.500 0.000 0.500